Computed, not measured: a relaxed structure of Pm3NiSe2 at the PBE-GGA level of DFT.

Results
- Uncorrected formation energy: -1.274 eV per atom
- Space group: Immm
- E: -5.7741 eV/atom
- Size of the total moment: 0.000 μB per atom

Cell lengths 4.017, 5.991, 7.338 Å; angles 114.09, 105.88, 90.00 degrees
Element x y z (fractional)
Pm 0.651 0.651 0.301
Ni 0.000 0.500 0.000
Pm 0.349 0.349 0.699
Se 0.328 0.828 0.655
Se 0.672 0.172 0.345
Pm 0.000 0.000 0.000

Computed, not measured: a relaxed structure of Pm6NiSe5 at the PBE-GGA level of DFT.

Results
- Uncorrected formation energy: -1.600 eV per atom
- Space group: C2/m
- E: -5.9094 eV/atom
- Size of the total moment: 0.000 μB per atom

Cell lengths 7.253, 7.253, 7.250 Å; angles 99.71, 99.71, 119.85 degrees
Element x y z (fractional)
Se 0.665 0.335 0.000
Pm 0.604 0.922 0.762
Se 0.500 0.500 0.500
Pm 0.078 0.396 0.238
Pm 0.762 0.762 0.243
Pm 0.922 0.604 0.762
Pm 0.238 0.238 0.757
Se 0.826 0.174 0.500
Se 0.174 0.826 0.500
Ni 0.000 0.000 0.000
Pm 0.396 0.078 0.238
Se 0.335 0.665 0.000

Computed, not measured: a relaxed structure of Pm5NiSe4 at the PBE-GGA level of DFT.

Results
- Uncorrected formation energy: -1.528 eV per atom
- Space group: I4/m
- E: -5.8749 eV/atom
- Size of the total moment: 0.000 μB per atom

Cell lengths 5.952, 7.229, 7.229 Å; angles 80.24, 65.69, 65.69 degrees
Element x y z (fractional)
Pm 0.287 0.812 0.617
Pm 0.715 0.188 0.383
Se 0.805 0.789 0.602
Pm 0.904 0.383 0.812
Pm 0.501 0.000 0.000
Se 0.408 0.398 0.789
Se 0.594 0.602 0.211
Ni 0.001 0.000 0.000
Se 0.196 0.211 0.398
Pm 0.098 0.617 0.188

Computed, not measured: a relaxed structure of Pm4NiTe2Se at the PBE-GGA level of DFT.

Results
- Uncorrected formation energy: -1.232 eV per atom
- Space group: P2/m
- E: -5.5512 eV/atom
- Size of the total moment: 0.000 μB per atom

Cell lengths 4.183, 7.523, 7.638 Å; angles 108.64, 90.00, 90.00 degrees
Element x y z (fractional)
Pm 0.500 0.219 0.209
Ni 0.000 0.000 0.000
Pm 0.000 0.747 0.226
Pm 0.000 0.253 0.774
Te 0.000 0.500 0.500
Te 0.500 0.000 0.500
Pm 0.500 0.781 0.791
Se 0.500 0.500 0.000

Computed, not measured: a relaxed structure of PmUNiSe4 at the PBE-GGA level of DFT.

Results
- Uncorrected formation energy: -1.143 eV per atom
- Space group: P2_1/m
- E: -6.2509 eV/atom
- Size of the total moment: 0.314 μB per atom

Cell lengths 6.876, 5.910, 8.108 Å; angles 90.00, 106.48, 90.00 degrees
Element x y z (fractional)
Ni 0.753 0.250 0.678
Ni 0.247 0.750 0.322
Se 0.984 0.008 0.253
Se 0.016 0.508 0.747
Se 0.984 0.492 0.253
Pm 0.742 0.750 0.933
Se 0.423 0.750 0.609
Se 0.016 0.992 0.747
U 0.260 0.250 0.560
Se 0.429 0.750 0.114
Se 0.577 0.250 0.391
Pm 0.258 0.250 0.067
U 0.740 0.750 0.440
Se 0.571 0.250 0.886

Computed, not measured: a relaxed structure of Pm2SiNi at the PBE-GGA level of DFT.

Results
- Uncorrected formation energy: -0.331 eV per atom
- Space group: Immm
- E: -5.5079 eV/atom
- Size of the total moment: 0.000 μB per atom

Cell lengths 4.360, 9.011, 5.706 Å; angles 113.24, 112.46, 90.00 degrees
Element x y z (fractional)
Pm 0.826 0.913 0.653
Si 0.500 0.250 0.000
Pm 0.174 0.087 0.347
Pm 0.174 0.587 0.347
Ni 0.000 0.250 0.000
Ni 0.000 0.750 0.000
Si 0.500 0.750 0.000
Pm 0.826 0.413 0.653

Computed, not measured: a relaxed structure of Pm2SiNi3 at the PBE-GGA level of DFT.

Results
- Uncorrected formation energy: -0.520 eV per atom
- Space group: Pmm2
- E: -5.8981 eV/atom
- Size of the total moment: 0.000 μB per atom

Cell lengths 3.946, 4.015, 7.082 Å; angles 90.00, 90.00, 90.00 degrees
Element x y z (fractional)
Ni 0.500 0.000 0.836
Pm 0.000 0.000 0.509
Si 0.500 0.500 0.330
Pm 0.000 0.500 0.995
Ni 0.500 0.500 0.656
Ni 0.500 0.000 0.173

Computed, not measured: a relaxed structure of Pm3SiNi2 at the PBE-GGA level of DFT.

Results
- Uncorrected formation energy: -0.427 eV per atom
- Space group: Pnma
- E: -5.6332 eV/atom
- Size of the total moment: 0.000 μB per atom

Cell lengths 3.961, 11.766, 11.816 Å; angles 90.00, 90.00, 90.00 degrees
Element x y z (fractional)
Ni 0.750 0.186 0.041
Pm 0.750 0.564 0.616
Ni 0.750 0.314 0.541
Pm 0.750 0.878 0.428
Si 0.750 0.631 0.372
Pm 0.250 0.122 0.572
Ni 0.250 0.686 0.459
Si 0.250 0.131 0.128
Ni 0.250 0.014 0.302
Si 0.250 0.369 0.628
Pm 0.250 0.816 0.687
Ni 0.250 0.486 0.802
Pm 0.750 0.936 0.116
Ni 0.250 0.814 0.959
Pm 0.250 0.378 0.072
Pm 0.250 0.064 0.884
Pm 0.750 0.184 0.313
Pm 0.750 0.316 0.813
Pm 0.750 0.622 0.928
Ni 0.750 0.986 0.698
Pm 0.250 0.436 0.384
Ni 0.750 0.514 0.198
Si 0.750 0.869 0.872
Pm 0.250 0.684 0.187

Number 2 is which compound?
Pm6NiSe5